## Li2AcHoCd4 (PBE)

Data for Li2AcHoCd4 after structural relaxation.

Calculated values
ρ, g cm⁻³: 6.981
Total DFT energy (no corrections), eV/cell: -18.0
Crystal system: trigonal
SG: No. 166
Formation energy, meV/atom: -231.2
Total moment, μB/cell: 0.00

a = 9.8555 Å, b = 9.8555 Å, c = 9.8555 Å
α = 29.35°, β = 29.35°, γ = 29.35°
Fractional positions:
Li (0.2373, 0.2373, 0.2373)
Li (0.7627, 0.7627, 0.7627)
Ac (0.0000, 0.0000, 0.0000)
Ho (0.5000, 0.5000, 0.5000)
Cd (0.1226, 0.1226, 0.1226)
Cd (0.3940, 0.3940, 0.3940)
Cd (0.6060, 0.6060, 0.6060)
Cd (0.8774, 0.8774, 0.8774)